# TaCr2F, relaxed, DFT PBE with a Hubbard U
data_TaCr2F
_cell_length_a 6.433
_cell_length_b 6.433
_cell_length_c 6.433
_cell_angle_alpha 90.00
_cell_angle_beta 90.00
_cell_angle_gamma 90.00
_space_group_name_H-M_alt 'F m -3 m'
_space_group_IT_number 225
_space_group_name_Hall '-F 4 2 3'
loop_
_atom_site_label
_atom_site_type_symbol
_atom_site_fract_x
_atom_site_fract_y
_atom_site_fract_z
Ta1 Ta 0.000 0.000 0.000
Cr1 Cr 0.250 0.250 0.250
F1 F 0.000 0.000 0.500
# total magnetization	6.55	μB per formula unit
# polymorph energy (0 for the lowest one)	390	meV/atom